TmZn9Au2 PBE relaxed; energy = -0.1507 Ry per atom; ΔE to the lowest computed polymorph = 67.4 meV/atom; symmetry = R-3m (166); calculated density = 9.7 g/cm³
1.0
2.612 1.508 8.386
-2.612 1.508 8.386
0.000 -3.016 8.386
Tm Zn Au
1 9 2
Direct
0.000 0.000 0.000 Tm
0.081 0.588 0.588 Zn
0.333 0.333 0.333 Zn
0.412 0.412 0.919 Zn
0.412 0.919 0.412 Zn
0.500 0.500 0.500 Zn
0.588 0.081 0.588 Zn
0.588 0.588 0.081 Zn
0.667 0.667 0.667 Zn
0.919 0.412 0.412 Zn
0.123 0.123 0.123 Au
0.877 0.877 0.877 Au